# 1
First-principles (PBE) data for a relaxed structure of Ac6CdSe5, as listed in the Alexandria database.

Properties
**Formation energy from raw total energies**: -18.79 eV/f.u.
**Calculated volume**: 394.2 Å³/cell
**DFT total energy**: -61.78 eV per cell
**Magnetization**: 0.00 μB per cell

Cell: 7.851 7.851 7.816 Å, 99.60 99.60 119.82°
Atoms (fractional coordinates):
Ac 0.077 0.416 0.747
Ac 0.246 0.246 0.252
Ac 0.416 0.077 0.747
Ac 0.584 0.923 0.253
Ac 0.754 0.754 0.748
Ac 0.923 0.584 0.253
Cd 0.500 0.500 0.000
Se 0.000 0.000 0.500
Se 0.166 0.834 0.000
Se 0.334 0.666 0.500
Se 0.666 0.334 0.500
Se 0.834 0.166 0.000

# 2
First-principles (PBE) data for a relaxed structure of Ac2CdSe, as listed in the Alexandria database.

Properties
**Formation energy from raw total energies**: -2.37 eV/f.u.
**E above lowest polymorph**: 280 meV per atom
**Calculated volume**: 163.2 Å³/cell
**DFT total energy**: -14.98 eV per cell
**Magnetization**: 0.00 μB per cell

Cell: 11.091 11.091 11.091 Å, 21.68 21.68 21.68°
Atoms (fractional coordinates):
Ac 0.107 0.107 0.107
Ac 0.893 0.893 0.893
Cd 0.000 0.000 0.000
Se 0.500 0.500 0.500

# 3
First-principles (PBE) data for a relaxed structure of Ac4CdSe3, as listed in the Alexandria database.

Properties
**Formation energy from raw total energies**: -11.48 eV/f.u.
**Calculated volume**: 266.9 Å³/cell
**DFT total energy**: -39.28 eV per cell
**Magnetization**: 0.00 μB per cell

Cell: 7.894 7.894 7.894 Å, 131.92 131.92 70.35°
Atoms (fractional coordinates):
Ac 0.000 0.500 0.500
Ac 0.243 0.243 0.000
Ac 0.500 0.000 0.500
Ac 0.757 0.757 0.000
Cd 0.500 0.500 0.000
Se 0.000 0.000 0.000
Se 0.250 0.750 0.500
Se 0.750 0.250 0.500

# 4
First-principles (PBE) data for a relaxed structure of Ac5CdSe4, as listed in the Alexandria database.

Properties
**Formation energy from raw total energies**: -15.17 eV/f.u.
**Calculated volume**: 330.7 Å³/cell
**DFT total energy**: -50.56 eV per cell
**Magnetization**: 0.00 μB per cell

Cell: 7.869 7.869 7.869 Å, 99.52 99.52 132.00°
Atoms (fractional coordinates):
Ac 0.000 0.000 0.000
Ac 0.195 0.397 0.592
Ac 0.397 0.805 0.203
Ac 0.603 0.195 0.797
Ac 0.805 0.603 0.408
Cd 0.500 0.500 0.000
Se 0.101 0.698 0.799
Se 0.302 0.101 0.403
Se 0.698 0.899 0.597
Se 0.899 0.302 0.201

# 5
First-principles (PBE) data for a relaxed structure of Ac2CdSe, as listed in the Alexandria database.

Properties
**Formation energy from raw total energies**: -3.48 eV/f.u.
**E above lowest polymorph**: 0 meV per atom
**Calculated volume**: 125.7 Å³/cell
**DFT total energy**: -16.10 eV per cell
**Magnetization**: 0.00 μB per cell

Cell: 3.813 3.813 8.651 Å, 90.00 90.00 90.00°
Atoms (fractional coordinates):
Ac 0.000 0.000 0.233
Ac 0.000 0.000 0.767
Cd 0.500 0.500 0.500
Se 0.500 0.500 0.000

# 6
First-principles (PBE) data for a relaxed structure of Ac3Cd5Se12, as listed in the Alexandria database.

Properties
**Formation energy from raw total energies**: -17.09 eV/f.u.
**Calculated volume**: 2440.7 Å³/cell
**DFT total energy**: -303.24 eV per cell
**Magnetization**: 0.00 μB per cell

Cell: 14.691 14.691 14.691 Å, 109.47 109.47 109.47°
Atoms (fractional coordinates):
Ac 0.125 0.250 0.375
Ac 0.125 0.375 0.750
Ac 0.250 0.375 0.125
Ac 0.250 0.875 0.625
Ac 0.375 0.125 0.250
Ac 0.375 0.750 0.125
Ac 0.625 0.250 0.875
Ac 0.625 0.875 0.750
Ac 0.750 0.125 0.375
Ac 0.750 0.625 0.875
Ac 0.875 0.625 0.250
Ac 0.875 0.750 0.625
Cd 0.000 0.000 0.000
Cd 0.000 0.000 0.500
Cd 0.000 0.500 0.000
Cd 0.000 0.500 0.500
Cd 0.125 0.750 0.875
Cd 0.125 0.875 0.250
Cd 0.250 0.125 0.875
Cd 0.250 0.625 0.375
Cd 0.375 0.250 0.625
Cd 0.375 0.625 0.750
Cd 0.500 0.000 0.000
Cd 0.500 0.000 0.500
Cd 0.500 0.500 0.000
Cd 0.500 0.500 0.500
Cd 0.625 0.375 0.250
Cd 0.625 0.750 0.375
Cd 0.750 0.375 0.625
Cd 0.750 0.875 0.125
Cd 0.875 0.125 0.750
Cd 0.875 0.250 0.125
Se 0.042 0.216 0.128
Se 0.042 0.326 0.914
Se 0.086 0.628 0.413
Se 0.086 0.958 0.674
Se 0.087 0.716 0.674
Se 0.087 0.872 0.414
Se 0.128 0.042 0.216
Se 0.128 0.586 0.913
Se 0.174 0.216 0.587
Se 0.174 0.458 0.586
Se 0.216 0.128 0.042
Se 0.216 0.587 0.174
Se 0.284 0.326 0.913
Se 0.284 0.458 0.372
Se 0.326 0.913 0.284
Se 0.326 0.914 0.042
Se 0.372 0.284 0.458
Se 0.372 0.587 0.914
Se 0.413 0.086 0.628
Se 0.413 0.826 0.784
Se 0.414 0.087 0.872
Se 0.414 0.826 0.542
Se 0.458 0.372 0.284
Se 0.458 0.586 0.174
Se 0.542 0.414 0.826
Se 0.542 0.628 0.716
Se 0.586 0.174 0.458
Se 0.586 0.913 0.128
Se 0.587 0.174 0.216
Se 0.587 0.914 0.372
Se 0.628 0.413 0.086
Se 0.628 0.716 0.542
Se 0.674 0.086 0.958
Se 0.674 0.087 0.716
Se 0.716 0.542 0.628
Se 0.716 0.674 0.087
Se 0.784 0.413 0.826
Se 0.784 0.872 0.958
Se 0.826 0.542 0.414
Se 0.826 0.784 0.413
Se 0.872 0.414 0.087
Se 0.872 0.958 0.784
Se 0.913 0.128 0.586
Se 0.913 0.284 0.326
Se 0.914 0.042 0.326
Se 0.914 0.372 0.587
Se 0.958 0.674 0.086
Se 0.958 0.784 0.872

# 7
First-principles (PBE) data for a relaxed structure of Ac3CdSe6, as listed in the Alexandria database.

Properties
**Formation energy from raw total energies**: -15.71 eV/f.u.
**Calculated volume**: 667.0 Å³/cell
**DFT total energy**: -99.72 eV per cell
**Magnetization**: 0.00 μB per cell

Cell: 9.912 9.912 6.952 Å, 90.00 90.00 102.45°
Atoms (fractional coordinates):
Ac 0.115 0.885 0.500
Ac 0.210 0.427 0.570
Ac 0.427 0.210 0.070
Ac 0.573 0.790 0.570
Ac 0.790 0.573 0.070
Ac 0.885 0.115 0.000
Cd 0.308 0.692 0.125
Cd 0.692 0.308 0.625
Se 0.065 0.596 0.297
Se 0.144 0.175 0.286
Se 0.175 0.144 0.786
Se 0.281 0.719 0.753
Se 0.404 0.935 0.297
Se 0.473 0.527 0.274
Se 0.527 0.473 0.774
Se 0.596 0.065 0.797
Se 0.719 0.281 0.253
Se 0.825 0.856 0.286
Se 0.856 0.825 0.786
Se 0.935 0.404 0.797

# 8
First-principles (PBE) data for a relaxed structure of Ac2SmCdSe5, as listed in the Alexandria database.

Properties
**Formation energy from raw total energies**: -14.84 eV/f.u.
**Calculated volume**: 510.0 Å³/cell
**DFT total energy**: -92.24 eV per cell
**Magnetization**: 0.00 μB per cell

Cell: 9.402 9.402 13.003 Å, 90.00 90.00 153.66°
Atoms (fractional coordinates):
Ac 0.117 0.883 0.500
Ac 0.134 0.866 0.122
Ac 0.866 0.134 0.622
Ac 0.883 0.117 0.000
Sm 0.200 0.800 0.823
Sm 0.800 0.200 0.323
Cd 0.457 0.543 0.268
Cd 0.543 0.457 0.768
Se 0.046 0.954 0.883
Se 0.289 0.711 0.480
Se 0.313 0.687 0.166
Se 0.359 0.641 0.814
Se 0.494 0.506 0.581
Se 0.506 0.494 0.081
Se 0.641 0.359 0.314
Se 0.687 0.313 0.666
Se 0.711 0.289 0.980
Se 0.954 0.046 0.383

# 9
First-principles (PBE) data for a relaxed structure of Ac2CdSnSe5, as listed in the Alexandria database.

Properties
**Formation energy from raw total energies**: -12.03 eV/f.u.
**Calculated volume**: 517.1 Å³/cell
**DFT total energy**: -85.17 eV per cell
**Magnetization**: 0.00 μB per cell

Cell: 9.453 9.453 12.828 Å, 90.00 90.00 153.18°
Atoms (fractional coordinates):
Ac 0.114 0.886 0.500
Ac 0.131 0.869 0.116
Ac 0.869 0.131 0.616
Ac 0.886 0.114 0.000
Cd 0.447 0.553 0.275
Cd 0.553 0.447 0.775
Sn 0.207 0.793 0.823
Sn 0.793 0.207 0.323
Se 0.044 0.956 0.887
Se 0.287 0.713 0.482
Se 0.312 0.688 0.156
Se 0.364 0.636 0.812
Se 0.496 0.504 0.586
Se 0.504 0.496 0.086
Se 0.636 0.364 0.312
Se 0.688 0.312 0.656
Se 0.713 0.287 0.982
Se 0.956 0.044 0.387

# 10
First-principles (PBE) data for a relaxed structure of Ac2TbCdSe5, as listed in the Alexandria database.

Properties
**Formation energy from raw total energies**: -14.84 eV/f.u.
**Calculated volume**: 504.5 Å³/cell
**DFT total energy**: -92.05 eV per cell
**Magnetization**: 0.00 μB per cell

Cell: 9.373 9.373 12.978 Å, 90.00 90.00 153.73°
Atoms (fractional coordinates):
Ac 0.117 0.883 0.500
Ac 0.134 0.866 0.122
Ac 0.866 0.134 0.622
Ac 0.883 0.117 0.000
Tb 0.201 0.799 0.824
Tb 0.799 0.201 0.324
Cd 0.457 0.543 0.267
Cd 0.543 0.457 0.767
Se 0.048 0.952 0.883
Se 0.289 0.711 0.477
Se 0.311 0.689 0.170
Se 0.358 0.642 0.815
Se 0.494 0.506 0.581
Se 0.506 0.494 0.081
Se 0.642 0.358 0.315
Se 0.689 0.311 0.670
Se 0.711 0.289 0.977
Se 0.952 0.048 0.383

# 11
First-principles (PBE) data for a relaxed structure of AcTl2Cd2Se4, as listed in the Alexandria database.

Properties
**Formation energy from raw total energies**: -7.12 eV/f.u.
**Calculated volume**: 280.0 Å³/cell
**DFT total energy**: -31.73 eV per cell
**Magnetization**: 0.00 μB per cell

Cell: 8.765 8.765 8.041 Å, 112.24 112.24 29.51°
Atoms (fractional coordinates):
Ac 0.000 0.000 0.000
Tl 0.128 0.128 0.561
Tl 0.872 0.872 0.439
Cd 0.311 0.311 0.989
Cd 0.689 0.689 0.011
Se 0.200 0.200 0.228
Se 0.473 0.473 0.242
Se 0.527 0.527 0.758
Se 0.800 0.800 0.772

# 12
First-principles (PBE) data for a relaxed structure of Ac2TmCdSe5, as listed in the Alexandria database.

Properties
**Formation energy from raw total energies**: -14.72 eV/f.u.
**Calculated volume**: 499.7 Å³/cell
**DFT total energy**: -91.50 eV per cell
**Magnetization**: 0.00 μB per cell

Cell: 9.349 9.349 12.971 Å, 90.00 90.00 153.84°
Atoms (fractional coordinates):
Ac 0.117 0.883 0.500
Ac 0.135 0.865 0.123
Ac 0.865 0.135 0.623
Ac 0.883 0.117 0.000
Tm 0.202 0.798 0.826
Tm 0.798 0.202 0.326
Cd 0.457 0.543 0.267
Cd 0.543 0.457 0.767
Se 0.050 0.950 0.884
Se 0.288 0.712 0.475
Se 0.310 0.690 0.174
Se 0.356 0.644 0.815
Se 0.494 0.506 0.581
Se 0.506 0.494 0.081
Se 0.644 0.356 0.315
Se 0.690 0.310 0.674
Se 0.712 0.288 0.975
Se 0.950 0.050 0.384

Repeat the second record exactly.
First-principles (PBE) data for a relaxed structure of Ac2CdSe, as listed in the Alexandria database.

Properties
**Formation energy from raw total energies**: -2.37 eV/f.u.
**E above lowest polymorph**: 280 meV per atom
**Calculated volume**: 163.2 Å³/cell
**DFT total energy**: -14.98 eV per cell
**Magnetization**: 0.00 μB per cell

Cell: 11.091 11.091 11.091 Å, 21.68 21.68 21.68°
Atoms (fractional coordinates):
Ac 0.107 0.107 0.107
Ac 0.893 0.893 0.893
Cd 0.000 0.000 0.000
Se 0.500 0.500 0.500

Copy entry 9 word for word.
First-principles (PBE) data for a relaxed structure of Ac2CdSnSe5, as listed in the Alexandria database.

Properties
**Formation energy from raw total energies**: -12.03 eV/f.u.
**Calculated volume**: 517.1 Å³/cell
**DFT total energy**: -85.17 eV per cell
**Magnetization**: 0.00 μB per cell

Cell: 9.453 9.453 12.828 Å, 90.00 90.00 153.18°
Atoms (fractional coordinates):
Ac 0.114 0.886 0.500
Ac 0.131 0.869 0.116
Ac 0.869 0.131 0.616
Ac 0.886 0.114 0.000
Cd 0.447 0.553 0.275
Cd 0.553 0.447 0.775
Sn 0.207 0.793 0.823
Sn 0.793 0.207 0.323
Se 0.044 0.956 0.887
Se 0.287 0.713 0.482
Se 0.312 0.688 0.156
Se 0.364 0.636 0.812
Se 0.496 0.504 0.586
Se 0.504 0.496 0.086
Se 0.636 0.364 0.312
Se 0.688 0.312 0.656
Se 0.713 0.287 0.982
Se 0.956 0.044 0.387

Repeat the ninth record exactly.
First-principles (PBE) data for a relaxed structure of Ac2CdSnSe5, as listed in the Alexandria database.

Properties
**Formation energy from raw total energies**: -12.03 eV/f.u.
**Calculated volume**: 517.1 Å³/cell
**DFT total energy**: -85.17 eV per cell
**Magnetization**: 0.00 μB per cell

Cell: 9.453 9.453 12.828 Å, 90.00 90.00 153.18°
Atoms (fractional coordinates):
Ac 0.114 0.886 0.500
Ac 0.131 0.869 0.116
Ac 0.869 0.131 0.616
Ac 0.886 0.114 0.000
Cd 0.447 0.553 0.275
Cd 0.553 0.447 0.775
Sn 0.207 0.793 0.823
Sn 0.793 0.207 0.323
Se 0.044 0.956 0.887
Se 0.287 0.713 0.482
Se 0.312 0.688 0.156
Se 0.364 0.636 0.812
Se 0.496 0.504 0.586
Se 0.504 0.496 0.086
Se 0.636 0.364 0.312
Se 0.688 0.312 0.656
Se 0.713 0.287 0.982
Se 0.956 0.044 0.387